A relaxed Li3Ga5Cu2 crystal. Source: the Alexandria database, functional PBE.

Output
Crystal system: orthorhombic
Symmetry: Ibam
Fermi-level density of states (states/eV/f.u.): 2.8
Spin magnetization (μB/f.u.): 0.00
Formation energy from the elements (eV/atom): -0.082

Unit cell a=5.4218 b=8.5133 c=8.5133 alpha=90.01 beta=71.43 gamma=71.43
Last column: nearest neighbours and their distance in Å.
Fractional coordinates of all 20 atoms:
Cu 0.8508 0.2978 0.0007  3 Ga 2.37-2.46
Ga 0.1275 0.5282 0.2167  1 Cu 2.37
Ga 0.3725 0.7833 0.4718  1 Cu 2.37
Cu 0.1492 0.7022 0.9993  3 Ga 2.37-2.46
Li 0.8896 0.8799 0.3410  4 Ga 2.90-3.04, 4 Cu 2.92-2.97
Ga 0.0080 0.2420 0.2420  2 Cu 2.46, 1 Li 2.60, 4 Ga 2.71
Ga 0.7500 0.5000 0.5000  8 Ga 2.69-2.77
Li 0.2500 0.0000 0.0000  2 Ga 2.60, 2 Li 2.71, 4 Cu 2.76
Li 0.6104 0.6590 0.1201  4 Ga 2.90-3.04, 4 Cu 2.92-2.97
Ga 0.9920 0.7580 0.7580  2 Cu 2.46, 1 Li 2.60, 4 Ga 2.71
Cu 0.6492 0.9993 0.7022  3 Ga 2.37-2.46
Ga 0.5080 0.2420 0.2420  2 Cu 2.46, 1 Li 2.60, 4 Ga 2.71
Li 0.7500 0.0000 0.0000  2 Ga 2.60, 2 Li 2.71, 4 Cu 2.76
Ga 0.6275 0.2167 0.5282  1 Cu 2.37
Ga 0.4920 0.7580 0.7580  2 Cu 2.46, 1 Li 2.60, 4 Ga 2.71
Ga 0.2500 0.5000 0.5000  8 Ga 2.69-2.77
Ga 0.8725 0.4718 0.7833  1 Cu 2.37
Li 0.1104 0.1201 0.6590  4 Ga 2.90-3.04, 4 Cu 2.92-2.97
Cu 0.3508 0.0007 0.2978  3 Ga 2.37-2.46
Li 0.3896 0.3410 0.8799  4 Ga 2.90-3.04, 4 Cu 2.92-2.97

A relaxed Li2Ga3Cu crystal. Source: the Alexandria database, functional PBE.

Output
Crystal system: monoclinic
Offset from the most stable computed form (meV/atom): 0
Symmetry: C2/c
Fermi-level density of states (states/eV/f.u.): 1.3
Spin magnetization (μB/f.u.): 0.00
Formation energy from the elements (eV/atom): -0.255

Unit cell a=5.1982 b=5.1982 c=7.1251 alpha=100.21 beta=100.21 gamma=92.71
Last column: nearest neighbours and their distance in Å.
Fractional coordinates of all 12 atoms:
Li 0.1270 0.6191 0.8731  9 Ga 2.80-3.05, 2 Li 2.83, 3 Cu 2.87-2.91
Ga 0.6936 0.8533 0.9913  2 Cu 2.45-2.65, 2 Ga 2.59-2.60
Ga 0.3064 0.1467 0.0087  2 Cu 2.45-2.65, 2 Ga 2.59-2.60
Cu 0.9177 0.0823 0.7500  5 Ga 2.45-2.65
Ga 0.8533 0.6936 0.4913  2 Cu 2.45-2.65, 2 Ga 2.59-2.60
Ga 0.5914 0.4086 0.7500  1 Cu 2.45, 2 Ga 2.60
Li 0.8730 0.3809 0.1269  9 Ga 2.80-3.05, 2 Li 2.83, 3 Cu 2.87-2.91
Li 0.6191 0.1270 0.3731  9 Ga 2.80-3.05, 2 Li 2.83, 3 Cu 2.87-2.91
Li 0.3809 0.8730 0.6269  9 Ga 2.80-3.05, 2 Li 2.83, 3 Cu 2.87-2.91
Ga 0.4086 0.5914 0.2500  1 Cu 2.45, 2 Ga 2.60
Ga 0.1467 0.3064 0.5087  2 Cu 2.45-2.65, 2 Ga 2.59-2.60
Cu 0.0823 0.9177 0.2500  5 Ga 2.45-2.65

A relaxed Li2Ga4Cu3 crystal. Source: the Alexandria database, functional PBE.

Output
Crystal system: triclinic
Offset from the most stable computed form (meV/atom): 0
Symmetry: P-1
Fermi-level density of states (states/eV/f.u.): 1.6
Spin magnetization (μB/f.u.): 0.00
Formation energy from the elements (eV/atom): -0.175

Unit cell a=4.0462 b=4.4959 c=7.9405 alpha=80.19 beta=90.03 gamma=63.30
Last column: nearest neighbours and their distance in Å.
Fractional coordinates of all 9 atoms:
Li 0.6875 0.6269 0.2333  7 Ga 2.63-2.74, 3 Cu 2.70-2.73
Li 0.3125 0.3731 0.7667  7 Ga 2.63-2.74, 3 Cu 2.70-2.73
Ga 0.3445 0.3118 0.1099  4 Cu 2.57-2.73, 4 Li 2.67-2.74
Cu 0.0000 0.0000 0.0000  8 Ga 2.62-2.73
Cu 0.3451 0.3124 0.4336  6 Ga 2.51-2.77, 1 Cu 2.53, 3 Li 2.70-2.73
Ga 0.0278 0.9463 0.3422  6 Cu 2.51-2.77, 1 Ga 2.62, 3 Li 2.63-2.70
Cu 0.6549 0.6876 0.5664  6 Ga 2.51-2.77, 1 Cu 2.53, 3 Li 2.70-2.73
Ga 0.6555 0.6882 0.8901  4 Cu 2.57-2.73, 4 Li 2.67-2.74
Ga 0.9722 0.0537 0.6578  6 Cu 2.51-2.77, 1 Ga 2.62, 3 Li 2.63-2.70